Compound: BaPmMoO6
Source: the Alexandria database
Functional: PBE+U
Structure: relaxed

Cell: 5.8440 5.8439 5.5969 Å, 90.95 89.05 57.55°
With the nearest neighbours (Å) after each atom.
Atoms (fractional coordinates):
Ba  0.9984  0.9984  0.0000  6 O 2.75-2.78
Pm  0.6676  0.6676  0.5000  6 O 2.25-2.36
Mo  0.3462  0.3463  0.5000  6 O 1.88-2.08
O  0.0473  0.3551  0.2955  1 Mo 2.08, 1 Pm 2.25
O  0.3551  0.0473  0.7044  1 Mo 2.08, 1 Pm 2.25
O  0.6096  0.3435  0.6907  1 Mo 1.88
O  0.0440  0.5881  0.7090  1 Mo 1.92
O  0.3435  0.6097  0.3093  1 Mo 1.88
O  0.5881  0.0440  0.2910  1 Mo 1.92

Values from the calculation:
Magnetization = 1.0 Bohr magnetons per cell
DFT total energy = -7.077 eV per atom
ρ = 4.89 g/cm³
Crystal system = monoclinic
Fermi-level density of states = 0.76 states/eV/cell


Compound: Ba2PrMo3O12
Source: the Alexandria database
Functional: PBE+U
Structure: relaxed

Cell: 7.0224 7.0224 7.0224 Å, 64.96 64.96 64.96°
With the nearest neighbours (Å) after each atom.
Atoms (fractional coordinates):
Ba  0.6169  0.6169  0.6169  3 O 2.58
Ba  0.3831  0.3831  0.3831  3 O 2.58
Pr  0.0000  0.0000  0.0000  6 O 2.56
Mo  0.5000  0.0000  0.0000  6 O 1.89-1.98
Mo  0.0000  0.5000  0.0000  6 O 1.89-1.98
Mo  0.0000  0.0000  0.5000  6 O 1.89-1.98
O  0.2740  0.2740  0.9019  2 Mo 1.98
O  0.8688  0.8688  0.4212  1 Mo 1.89
O  0.4212  0.8688  0.8688  1 Mo 1.89
O  0.9019  0.2740  0.2740  2 Mo 1.98
O  0.8688  0.4212  0.8688  1 Mo 1.89
O  0.2740  0.9019  0.2740  2 Mo 1.98
O  0.7260  0.7260  0.0981  2 Mo 1.98
O  0.1312  0.1312  0.5788  1 Mo 1.89
O  0.5788  0.1312  0.1312  1 Mo 1.89
O  0.0981  0.7260  0.7260  2 Mo 1.98
O  0.1312  0.5788  0.1312  1 Mo 1.89
O  0.7260  0.0981  0.7260  2 Mo 1.98

Values from the calculation:
Magnetization = 1.0 Bohr magnetons per cell
DFT total energy = -7.122 eV per atom
ρ = 5.48 g/cm³
Crystal system = trigonal
Fermi-level density of states = 4.31 states/eV/cell


Compound: BaMoPtO6
Source: the Alexandria database
Functional: PBE+U
Structure: relaxed

Cell: 5.3794 5.3794 5.7288 Å, 90.00 90.00 60.00°
With the nearest neighbours (Å) after each atom.
Atoms (fractional coordinates):
Ba  0.0000  0.0000  0.0000  6 O 2.72
Mo  0.6666  0.6667  0.5000  6 O 1.96
Pt  0.3333  0.3333  0.5000  6 O 2.04
O  0.9890  0.3888  0.3096  1 Mo 1.96, 1 Pt 2.04
O  0.3888  0.9890  0.6904  1 Mo 1.96, 1 Pt 2.04
O  0.6221  0.3889  0.6904  1 Mo 1.96, 1 Pt 2.04
O  0.9889  0.6222  0.6904  1 Mo 1.96, 1 Pt 2.04
O  0.3889  0.6221  0.3095  1 Mo 1.96, 1 Pt 2.04
O  0.6221  0.9890  0.3095  1 Mo 1.96, 1 Pt 2.04

Values from the calculation:
Magnetization = 0.0 Bohr magnetons per cell
DFT total energy = -6.553 eV per atom
ρ = 6.06 g/cm³
Crystal system = trigonal
Fermi-level density of states = 0.00 states/eV/cell


Compound: Ba2MoPtO6
Source: the Alexandria database
Functional: PBE+U
Structure: relaxed

Cell: 5.5644 5.3387 6.7895 Å, 119.18 114.26 90.05°
With the nearest neighbours (Å) after each atom.
Atoms (fractional coordinates):
Ba  0.7678  0.2557  0.5357  7 O 2.66-2.87
Ba  0.2320  0.7451  0.4639  7 O 2.66-2.87
Mo  0.4999  0.5004  0.9998  6 O 1.91-1.99
Pt  0.9999  0.0004  0.9998  4 O 2.03
O  0.8037  0.8117  0.1074  1 Mo 1.99, 1 Pt 2.03
O  0.6731  0.6011  0.3465  1 Mo 1.91
O  0.1961  0.1891  0.8922  1 Mo 1.99, 1 Pt 2.03
O  0.6981  0.1919  0.8939  1 Mo 1.99, 1 Pt 2.03
O  0.3267  0.3997  0.6531  1 Mo 1.91
O  0.3017  0.8089  0.1057  1 Mo 1.99, 1 Pt 2.03

Values from the calculation:
Magnetization = 0.0 Bohr magnetons per cell
DFT total energy = -6.590 eV per atom
ρ = 7.07 g/cm³
Crystal system = triclinic


Compound: BaPuMoO6
Source: the Alexandria database
Functional: PBE+U
Structure: relaxed

Cell: 5.6039 5.6039 11.3570 Å, 90.00 90.00 120.00°
With the nearest neighbours (Å) after each atom.
Atoms (fractional coordinates):
Ba  0.0000  0.0000  0.0000  6 O 2.75
Ba  0.0000  0.0000  0.5000  6 O 2.75
Pu  0.6667  0.3333  0.2500  6 O 2.15
Pu  0.3333  0.6667  0.7500  6 O 2.15
Mo  0.3333  0.6667  0.2500  6 O 2.00
Mo  0.6667  0.3333  0.7500  6 O 2.00
O  0.6088  0.6281  0.1519  1 Mo 2.00, 1 Pu 2.15
O  0.0193  0.3912  0.1519  1 Mo 2.00, 1 Pu 2.15
O  0.3912  0.0193  0.6519  1 Mo 2.00, 1 Pu 2.15
O  0.9807  0.6088  0.8481  1 Mo 2.00, 1 Pu 2.15
O  0.3719  0.3912  0.3481  1 Mo 2.00, 1 Pu 2.15
O  0.0193  0.6281  0.3481  1 Mo 2.00, 1 Pu 2.15
O  0.6281  0.0193  0.8481  1 Mo 2.00, 1 Pu 2.15
O  0.6088  0.9807  0.3481  1 Mo 2.00, 1 Pu 2.15
O  0.9807  0.3719  0.6519  1 Mo 2.00, 1 Pu 2.15
O  0.3719  0.9807  0.1519  1 Mo 2.00, 1 Pu 2.15
O  0.6281  0.6088  0.6519  1 Mo 2.00, 1 Pu 2.15
O  0.3912  0.3719  0.8481  1 Mo 2.00, 1 Pu 2.15

Values from the calculation:
Magnetization = 8.0 Bohr magnetons per cell
DFT total energy = -8.341 eV per atom
ρ = 6.16 g/cm³
Crystal system = trigonal
Fermi-level density of states = 17.18 states/eV/cell


Compound: RbBa2MoO5
Source: the Alexandria database
Functional: PBE+U
Structure: relaxed

Cell: 6.3754 7.4984 7.4984 Å, 90.00 90.00 90.00°
With the nearest neighbours (Å) after each atom.
Atoms (fractional coordinates):
Rb  0.0000  0.5000  0.5000  10 O 3.19-3.26
Rb  0.0000  0.0000  0.0000  10 O 3.19-3.26
Ba  0.5000  0.6856  0.1856  8 O 2.72-3.00
Ba  0.5000  0.1856  0.3144  8 O 2.72-3.00
Ba  0.5000  0.8144  0.6856  8 O 2.72-3.00
Ba  0.5000  0.3144  0.8144  8 O 2.72-3.00
Mo  0.0000  0.0000  0.5000  4 O 1.90
Mo  0.0000  0.5000  0.0000  4 O 1.90
O  0.5000  0.5000  0.5000  4 Ba 2.74
O  0.5000  0.0000  0.0000  4 Ba 2.74
O  0.2130  0.1248  0.6248  1 Mo 1.90
O  0.2130  0.8752  0.3752  1 Mo 1.90
O  0.2130  0.3752  0.1248  1 Mo 1.90
O  0.2130  0.6248  0.8752  1 Mo 1.90
O  0.7870  0.1248  0.6248  1 Mo 1.90
O  0.7870  0.6248  0.8752  1 Mo 1.90
O  0.7870  0.8752  0.3752  1 Mo 1.90
O  0.7870  0.3752  0.1248  1 Mo 1.90

Values from the calculation:
Magnetization = 2.0 Bohr magnetons per cell
DFT total energy = -6.006 eV per atom
ρ = 4.97 g/cm³
Crystal system = tetragonal
Fermi-level density of states = 6.09 states/eV/cell


Compound: RbBa2MoO6
Source: the Alexandria database
Functional: PBE+U
Structure: relaxed

Cell: 6.1804 6.6591 8.9132 Å, 90.00 88.53 90.00°
With the nearest neighbours (Å) after each atom.
Atoms (fractional coordinates):
Rb  0.5000  0.0000  0.0000  6 O 2.76-2.89
Rb  0.0000  0.5000  0.5000  6 O 2.76-2.89
Ba  0.0148  0.9468  0.2625  6 O 2.65-2.92
Ba  0.5148  0.5532  0.7625  6 O 2.65-2.92
Ba  0.9852  0.0532  0.7375  6 O 2.65-2.92
Ba  0.4852  0.4468  0.2375  6 O 2.65-2.92
Mo  0.5000  0.0000  0.5000  6 O 1.94-1.97
Mo  0.0000  0.5000  0.0000  6 O 1.94-1.97
O  0.2631  0.6512  0.0344  1 Mo 1.94
O  0.7631  0.8488  0.5344  1 Mo 1.94
O  0.7369  0.3488  0.9656  1 Mo 1.94
O  0.2369  0.1512  0.4656  1 Mo 1.94
O  0.3591  0.7593  0.4193  1 Mo 1.97
O  0.8591  0.7407  0.9193  1 Mo 1.97
O  0.6409  0.2407  0.5807  1 Mo 1.97
O  0.1409  0.2593  0.0807  1 Mo 1.97
O  0.8908  0.5711  0.2004  1 Mo 1.95
O  0.3908  0.9289  0.7004  1 Mo 1.95
O  0.1092  0.4289  0.7996  1 Mo 1.95
O  0.6092  0.0711  0.2996  1 Mo 1.95

Values from the calculation:
Magnetization = 2.1 Bohr magnetons per cell
DFT total energy = -6.182 eV per atom
ρ = 5.00 g/cm³
Crystal system = monoclinic
Fermi-level density of states = 12.26 states/eV/cell


Compound: BaMo2RhO8
Source: the Alexandria database
Functional: PBE+U
Structure: relaxed

Cell: 5.8513 5.8513 7.2297 Å, 90.00 90.00 120.00°
With the nearest neighbours (Å) after each atom.
Atoms (fractional coordinates):
Ba  0.0000  0.0000  0.0000  6 O 2.83
Mo  0.6667  0.3333  0.2488  4 O 1.78-1.81
Mo  0.3333  0.6667  0.7512  4 O 1.78-1.81
Rh  0.0000  0.0000  0.5000  6 O 2.09
O  0.3333  0.6667  0.9974  1 Mo 1.78
O  0.3231  0.1681  0.3194  1 Mo 1.81
O  0.8319  0.1551  0.3194  1 Mo 1.81
O  0.6667  0.3333  0.0026  1 Mo 1.78
O  0.1681  0.8449  0.6806  1 Mo 1.81
O  0.6769  0.8319  0.6806  1 Mo 1.81
O  0.1551  0.3231  0.6806  1 Mo 1.81
O  0.8449  0.6769  0.3194  1 Mo 1.81

Values from the calculation:
Magnetization = 1.0 Bohr magnetons per cell
DFT total energy = -6.892 eV per atom
ρ = 4.34 g/cm³
Crystal system = trigonal
Fermi-level density of states = 6.87 states/eV/cell


Compound: BaMo2RhO
Source: the Alexandria database
Functional: PBE+U
Structure: relaxed

Cell: 4.4596 5.4976 4.4596 Å, 90.00 90.00 90.00°
With the nearest neighbours (Å) after each atom.
Atoms (fractional coordinates):
Mo  0.0000  0.0000  0.5000  2 O 2.23
Mo  0.5000  0.0000  0.0000  2 O 2.23
Rh  0.0000  0.5000  0.0000  2 O 2.75
Ba  0.5000  0.5000  0.5000  4 Rh 3.15
O  0.0000  0.0000  0.0000  4 Mo 2.23

Values from the calculation:
Magnetization = 7.7 Bohr magnetons per cell
DFT total energy = -5.236 eV per atom
ρ = 6.81 g/cm³
Crystal system = tetragonal
Fermi-level density of states = 1.78 states/eV/cell


Q: Which of these has the highest magnetization?
A: BaPuMoO6